Arrangement w

Here is a geometry-optimized BeCuRe structure from Alexandria. Energies are from PBE.

abc: 3.761 3.761 3.761
angles: 60.00 60.00 60.00
Sites, in units of the cell vectors:
Be (0.000, 0.000, 0.000)
Cu (0.750, 0.750, 0.750)
Re (0.250, 0.250, 0.250)

SG ... F-43m (216)

---

Arrangement x

Here is a geometry-optimized BeCuRe structure from Alexandria. Energies are from PBE.

abc: 2.640 2.640 6.144
angles: 90.00 90.00 120.00
Sites, in units of the cell vectors:
Be (0.000, 0.000, 0.000)
Cu (0.667, 0.333, 0.303)
Re (0.333, 0.667, 0.673)

SG ... P3m1 (156)

---

Question: which arrangement is favored energetically? Ranking from most to least stable: arrangement x, arrangement w.